No. 1
DFT (PBE-GGA) results for an optimized crystal structure of AcEuDyTm.

The structure in CIF format:
```
data_AcEuDyTm
_symmetry_space_group_name_H-M 'P 1'
_symmetry_Int_Tables_number 1
_symmetry_space_group_name_Hall 'P 1'
_cell_length_a 5.9095
_cell_length_b 5.9095
_cell_length_c 5.9095
_cell_angle_alpha 60.00
_cell_angle_beta 60.00
_cell_angle_gamma 60.00
loop_
_atom_site_label
_atom_site_type_symbol
_atom_site_fract_x
_atom_site_fract_y
_atom_site_fract_z
_atom_site_occupancy
Eu1 Eu 0.5000 0.5000 0.5000 1
Dy1 Dy 0.7500 0.7500 0.7500 1
Tm1 Tm 0.0000 0.0000 0.0000 1
Ac1 Ac 0.2500 0.2500 0.2500 1
```

Properties
The value obtained for the total energy is -5.719 eV/atom.

=====

No. 2
DFT (PBE-GGA) results for an optimized crystal structure of AcEuDyY.

The structure in CIF format:
```
data_AcEuDyY
_symmetry_space_group_name_H-M 'P 1'
_symmetry_Int_Tables_number 1
_symmetry_space_group_name_Hall 'P 1'
_cell_length_a 5.9445
_cell_length_b 5.9445
_cell_length_c 5.9445
_cell_angle_alpha 60.00
_cell_angle_beta 60.00
_cell_angle_gamma 60.00
loop_
_atom_site_label
_atom_site_type_symbol
_atom_site_fract_x
_atom_site_fract_y
_atom_site_fract_z
_atom_site_occupancy
Ac1 Ac 0.0000 0.0000 0.0000 1
Dy1 Dy 0.5000 0.5000 0.5000 1
Y1 Y 0.2500 0.2500 0.2500 1
Eu1 Eu 0.7500 0.7500 0.7500 1
```

Properties
The value obtained for the total energy is -6.222 eV/atom.

=====

No. 3
DFT (PBE-GGA) results for an optimized crystal structure of AcEuDyZn.

The structure in CIF format:
```
data_AcEuDyZn
_symmetry_space_group_name_H-M 'P 1'
_symmetry_Int_Tables_number 1
_symmetry_space_group_name_Hall 'P 1'
_cell_length_a 5.6533
_cell_length_b 5.6533
_cell_length_c 5.6533
_cell_angle_alpha 60.00
_cell_angle_beta 60.00
_cell_angle_gamma 60.00
loop_
_atom_site_label
_atom_site_type_symbol
_atom_site_fract_x
_atom_site_fract_y
_atom_site_fract_z
_atom_site_occupancy
Ac1 Ac 0.0000 0.0000 0.0000 1
Eu1 Eu 0.7500 0.7500 0.7500 1
Dy1 Dy 0.2500 0.2500 0.2500 1
Zn1 Zn 0.5000 0.5000 0.5000 1
```

Properties
The value obtained for the total energy is -4.878 eV/atom.

=====

No. 4
DFT (PBE-GGA) results for an optimized crystal structure of Ac2DyF8.

The structure in CIF format:
```
data_Ac2DyF8
_symmetry_space_group_name_H-M 'P 1'
_symmetry_Int_Tables_number 1
_symmetry_space_group_name_Hall 'P 1'
_cell_length_a 4.0922
_cell_length_b 6.3444
_cell_length_c 7.4009
_cell_angle_alpha 115.45
_cell_angle_beta 106.05
_cell_angle_gamma 90.00
loop_
_atom_site_label
_atom_site_type_symbol
_atom_site_fract_x
_atom_site_fract_y
_atom_site_fract_z
_atom_site_occupancy
Dy1 Dy 0.5000 0.0000 0.0000 1
F1 F 0.0292 0.8369 0.0583 1
F2 F 0.2153 0.3268 0.4307 1
F3 F 0.7847 0.6732 0.5693 1
F4 F 0.5755 0.4174 0.1509 1
F5 F 0.6687 0.9190 0.3374 1
F6 F 0.3313 0.0810 0.6626 1
F7 F 0.9708 0.1631 0.9417 1
F8 F 0.4245 0.5826 0.8491 1
Ac1 Ac 0.1704 0.6652 0.3409 1
Ac2 Ac 0.8296 0.3348 0.6591 1
```

Properties
The calculation puts the formation energy (no corrections) at -3903 meV per atom.

=====

No. 5
DFT (PBE-GGA) results for an optimized crystal structure of AcDyF6.

The structure in CIF format:
```
data_AcDyF6
_symmetry_space_group_name_H-M 'P 1'
_symmetry_Int_Tables_number 1
_symmetry_space_group_name_Hall 'P 1'
_cell_length_a 4.0093
_cell_length_b 5.3332
_cell_length_c 5.3332
_cell_angle_alpha 94.81
_cell_angle_beta 90.00
_cell_angle_gamma 90.00
loop_
_atom_site_label
_atom_site_type_symbol
_atom_site_fract_x
_atom_site_fract_y
_atom_site_fract_z
_atom_site_occupancy
F1 F 0.5000 0.9439 0.7081 1
F2 F 0.5000 0.8395 0.1605 1
F3 F 0.0000 0.6773 0.3227 1
F4 F 0.5000 0.2919 0.0561 1
F5 F 0.0000 0.5917 0.8073 1
F6 F 0.0000 0.1927 0.4083 1
Ac1 Ac 0.5000 0.4950 0.5050 1
Dy1 Dy 0.0000 0.9680 0.0320 1
```

Properties
The calculation puts the formation energy (no corrections) at -4048 meV per atom.

=====

No. 6
DFT (PBE-GGA) results for an optimized crystal structure of Ac3DyF.

The structure in CIF format:
```
data_Ac3DyF
_symmetry_space_group_name_H-M 'P 1'
_symmetry_Int_Tables_number 1
_symmetry_space_group_name_Hall 'P 1'
_cell_length_a 5.5234
_cell_length_b 5.5234
_cell_length_c 5.5234
_cell_angle_alpha 90.00
_cell_angle_beta 90.00
_cell_angle_gamma 90.00
loop_
_atom_site_label
_atom_site_type_symbol
_atom_site_fract_x
_atom_site_fract_y
_atom_site_fract_z
_atom_site_occupancy
Ac1 Ac 0.0000 0.0000 0.5000 1
Ac2 Ac 0.0000 0.5000 0.0000 1
Ac3 Ac 0.5000 0.0000 0.0000 1
F1 F 0.0000 0.0000 0.0000 1
Dy1 Dy 0.5000 0.5000 0.5000 1
```

Properties
The calculation puts the formation energy (no corrections) at -940 meV per atom.

=====

No. 7
DFT (PBE-GGA) results for an optimized crystal structure of AcDy2F8.

The structure in CIF format:
```
data_AcDy2F8
_symmetry_space_group_name_H-M 'P 1'
_symmetry_Int_Tables_number 1
_symmetry_space_group_name_Hall 'P 1'
_cell_length_a 4.3018
_cell_length_b 6.3596
_cell_length_c 6.3596
_cell_angle_alpha 112.90
_cell_angle_beta 98.91
_cell_angle_gamma 98.91
loop_
_atom_site_label
_atom_site_type_symbol
_atom_site_fract_x
_atom_site_fract_y
_atom_site_fract_z
_atom_site_occupancy
F1 F 0.5000 0.2477 0.7523 1
F2 F 0.5000 0.7523 0.2477 1
F3 F 0.7093 0.3862 0.3862 1
F4 F 0.2907 0.6138 0.6138 1
F5 F 0.0612 0.0560 0.3173 1
F6 F 0.9388 0.9440 0.6827 1
F7 F 0.9388 0.6827 0.9440 1
F8 F 0.0612 0.3173 0.0560 1
Ac1 Ac 0.5000 0.0000 0.0000 1
Dy1 Dy 0.0000 0.3200 0.6800 1
Dy2 Dy 0.0000 0.6800 0.3200 1
```

Properties
The calculation puts the formation energy (no corrections) at -3895 meV per atom.

=====

No. 8
DFT (PBE-GGA) results for an optimized crystal structure of Ac2DyF8.

The structure in CIF format:
```
data_Ac2DyF8
_symmetry_space_group_name_H-M 'P 1'
_symmetry_Int_Tables_number 1
_symmetry_space_group_name_Hall 'P 1'
_cell_length_a 4.2147
_cell_length_b 7.3757
_cell_length_c 7.6693
_cell_angle_alpha 105.58
_cell_angle_beta 90.00
_cell_angle_gamma 106.60
loop_
_atom_site_label
_atom_site_type_symbol
_atom_site_fract_x
_atom_site_fract_y
_atom_site_fract_z
_atom_site_occupancy
F1 F 0.2605 0.5210 0.9108 1
F2 F 0.4301 0.8602 0.2215 1
F3 F 0.9128 0.8256 0.9140 1
F4 F 0.0872 0.1744 0.0860 1
F5 F 0.5699 0.1398 0.7785 1
F6 F 0.8069 0.6139 0.4635 1
F7 F 0.7395 0.4790 0.0892 1
F8 F 0.1931 0.3861 0.5365 1
Ac1 Ac 0.2652 0.5303 0.2633 1
Ac2 Ac 0.7348 0.4697 0.7367 1
Dy1 Dy 0.5000 0.0000 0.0000 1
```

Properties
The calculation puts the formation energy (no corrections) at -3914 meV per atom.

=====

No. 9
DFT (PBE-GGA) results for an optimized crystal structure of Li3Ac2DyF12.

The structure in CIF format:
```
data_Li3Ac2DyF12
_symmetry_space_group_name_H-M 'P 1'
_symmetry_Int_Tables_number 1
_symmetry_space_group_name_Hall 'P 1'
_cell_length_a 7.3202
_cell_length_b 7.3202
_cell_length_c 7.3202
_cell_angle_alpha 63.14
_cell_angle_beta 63.14
_cell_angle_gamma 63.14
loop_
_atom_site_label
_atom_site_type_symbol
_atom_site_fract_x
_atom_site_fract_y
_atom_site_fract_z
_atom_site_occupancy
Dy1 Dy 0.0000 0.0000 0.0000 1
F1 F 0.0658 0.0658 0.6630 1
F2 F 0.4345 0.4345 0.8879 1
F3 F 0.9342 0.3370 0.9342 1
F4 F 0.6630 0.0658 0.0658 1
F5 F 0.4345 0.8879 0.4345 1
F6 F 0.5655 0.1121 0.5655 1
F7 F 0.0658 0.6630 0.0658 1
F8 F 0.8879 0.4345 0.4345 1
F9 F 0.1121 0.5655 0.5655 1
F10 F 0.9342 0.9342 0.3370 1
F11 F 0.5655 0.5655 0.1121 1
F12 F 0.3370 0.9342 0.9342 1
Ac1 Ac 0.3405 0.3405 0.3405 1
Ac2 Ac 0.6595 0.6595 0.6595 1
Li1 Li 0.5000 0.0000 0.0000 1
Li2 Li 0.0000 0.5000 0.0000 1
Li3 Li 0.0000 0.0000 0.5000 1
```

Properties
The calculation puts the formation energy (no corrections) at -3482 meV per atom.

=====

No. 10
DFT (PBE-GGA) results for an optimized crystal structure of AcDyFe4.

The structure in CIF format:
```
data_AcDyFe4
_symmetry_space_group_name_H-M 'P 1'
_symmetry_Int_Tables_number 1
_symmetry_space_group_name_Hall 'P 1'
_cell_length_a 5.2778
_cell_length_b 5.2778
_cell_length_c 5.2778
_cell_angle_alpha 60.00
_cell_angle_beta 60.00
_cell_angle_gamma 60.00
loop_
_atom_site_label
_atom_site_type_symbol
_atom_site_fract_x
_atom_site_fract_y
_atom_site_fract_z
_atom_site_occupancy
Fe1 Fe 0.6259 0.6259 0.1224 1
Fe2 Fe 0.6259 0.6259 0.6259 1
Fe3 Fe 0.1224 0.6259 0.6259 1
Fe4 Fe 0.6259 0.1224 0.6259 1
Ac1 Ac 0.2500 0.2500 0.2500 1
Dy1 Dy 0.0000 0.0000 0.0000 1
```

Properties
The value obtained for the total energy is -6.985 eV/atom.

=====

No. 11
DFT (PBE-GGA) results for an optimized crystal structure of AcDy2Fe.

The structure in CIF format:
```
data_AcDy2Fe
_symmetry_space_group_name_H-M 'P 1'
_symmetry_Int_Tables_number 1
_symmetry_space_group_name_Hall 'P 1'
_cell_length_a 3.4572
_cell_length_b 3.4572
_cell_length_c 9.3376
_cell_angle_alpha 90.00
_cell_angle_beta 90.00
_cell_angle_gamma 90.00
loop_
_atom_site_label
_atom_site_type_symbol
_atom_site_fract_x
_atom_site_fract_y
_atom_site_fract_z
_atom_site_occupancy
Ac1 Ac 0.5000 0.5000 0.5000 1
Fe1 Fe 0.5000 0.5000 0.0000 1
Dy1 Dy 0.0000 0.0000 0.8304 1
Dy2 Dy 0.0000 0.0000 0.1696 1
```

Properties
The value obtained for the total energy is -5.308 eV/atom.

=====

No. 12
DFT (PBE-GGA) results for an optimized crystal structure of AcDyFe.

The structure in CIF format:
```
data_AcDyFe
_symmetry_space_group_name_H-M 'P 1'
_symmetry_Int_Tables_number 1
_symmetry_space_group_name_Hall 'P 1'
_cell_length_a 7.1357
_cell_length_b 7.3768
_cell_length_c 7.5001
_cell_angle_alpha 90.00
_cell_angle_beta 90.00
_cell_angle_gamma 118.92
loop_
_atom_site_label
_atom_site_type_symbol
_atom_site_fract_x
_atom_site_fract_y
_atom_site_fract_z
_atom_site_occupancy
Ac1 Ac 0.8020 0.6040 0.3872 1
Ac2 Ac 0.3020 0.6040 0.1128 1
Ac3 Ac 0.1980 0.3960 0.6128 1
Ac4 Ac 0.6980 0.3960 0.8872 1
Dy1 Dy 0.2875 0.0750 0.2500 1
Dy2 Dy 0.7125 0.9250 0.7500 1
Dy3 Dy 0.7875 0.0750 0.2500 1
Dy4 Dy 0.2125 0.9250 0.7500 1
Fe1 Fe 0.0841 0.1683 0.9603 1
Fe2 Fe 0.4159 0.8317 0.4603 1
Fe3 Fe 0.5841 0.1683 0.5397 1
Fe4 Fe 0.9159 0.8317 0.0397 1
```

Properties
The value obtained for the total energy is -5.629 eV/atom.

=====

Number 1: density of states at the Fermi level 6.19 states/eV per cell. Number 2: density of states at the Fermi level 6.40 states/eV per cell. Number 3: density of states at the Fermi level 5.30 states/eV per cell. Number 4: density of states at the Fermi level 1.09 states/eV per cell. Number 5: density of states at the Fermi level 0.00 states/eV per cell. Number 6: density of states at the Fermi level 4.82 states/eV per cell. Number 7: density of states at the Fermi level 1.97 states/eV per cell. Number 8: density of states at the Fermi level 1.65 states/eV per cell. Number 9: density of states at the Fermi level 0.00 states/eV per cell. Number 10: density of states at the Fermi level 5.80 states/eV per cell. Number 11: density of states at the Fermi level 3.45 states/eV per cell. Number 12: density of states at the Fermi level 16.40 states/eV per cell.